No. 1
The following is a DFT calculation (GGA-PBE) of crystalline Sm2Ge3Ir3 at its relaxed geometry.

The space group is P4/mmm (No. 123) and the conventional cell measures 2.8715, 2.8715 and 20.8122 Å, with angles of 90.00, 90.00 and 90.00 degrees. The asymmetric unit holds Sm at (0.0000, 0.0000, 0.2417), Ge at (0.0000, 0.0000, 0.0000), Ge at (0.0000, 0.0000, 0.3852), Ir at (0.0000, 0.0000, 0.1147) and Ir at (0.0000, 0.0000, 0.5000).

The calculation puts the calculated volume at 171.61 Å³/cell. The electronic total energy is -5.560 eV per atom. For the calculated formation energy, the calculation gives 65 kJ/mol of atoms. The calculation puts the size of the total moment at 0.000 μB/atom.

No. 2
The following is a DFT calculation (GGA-PBE) of crystalline SmGe3Ir2 at its relaxed geometry.

The space group is Cmcm (No. 63) and the conventional cell measures 9.7566, 7.9001 and 5.7233 Å, with angles of 90.00, 90.00 and 90.00 degrees. The asymmetric unit holds Sm at (0.0000, 0.1580, 0.2500), Ge at (0.0000, 0.4803, 0.7500), Ge at (0.1641, 0.2243, 0.7500) and Ir at (0.2330, 0.5000, 0.0000).

For the energy above the most stable polymorph in this dataset, the calculation gives 2.54 kcal/mol of atoms. The calculation puts the calculated volume at 441.14 Å³/cell. The electronic total energy is -6.459 eV per atom. For the calculated formation energy, the calculation gives -40 kJ/mol of atoms. The calculation puts the size of the total moment at 0.000 μB/atom.

No. 3
The following is a DFT calculation (GGA-PBE) of crystalline Sm2GeIr at its relaxed geometry.

The space group is P2_1/m (No. 11) and the conventional cell measures 5.9006, 4.2044 and 8.2050 Å, with angles of 90.00, 110.09 and 90.00 degrees. The asymmetric unit holds Sm at (0.1855, 0.2500, 0.4109), Sm at (0.2732, 0.7500, 0.0571), Ge at (0.3688, 0.7500, 0.7064) and Ir at (0.1413, 0.2500, 0.7869).

The calculation puts the calculated volume at 191.17 Å³/cell. The electronic total energy is -6.524 eV per atom. For the calculated formation energy, the calculation gives -77 kJ/mol of atoms. The calculation puts the size of the total moment at 0.000 μB/atom.

No. 4
The following is a DFT calculation (GGA-PBE) of crystalline SmGe3Ir3 at its relaxed geometry.

The space group is R-3 (No. 148, hexagonal axes) and the conventional cell measures 6.8957, 6.8957 and 21.0209 Å, with angles of 90.00, 90.00 and 120.00 degrees. The asymmetric unit holds Sm at (0.0000, 0.0000, 0.1718), Ge at (0.0292, 0.4225, 0.0616) and Ir at (0.0124, 0.2514, 0.9449).

For the energy above the most stable polymorph in this dataset, the calculation gives 0.00 kcal/mol of atoms. The calculation puts the calculated volume at 865.63 Å³/cell. The electronic total energy is -6.887 eV per atom. For the calculated formation energy, the calculation gives -42 kJ/mol of atoms. The calculation puts the size of the total moment at 0.000 μB/atom.

No. 5
The following is a DFT calculation (GGA-PBE) of crystalline Sm2GeIr at its relaxed geometry.

The space group is P4/mmm (No. 123) and the conventional cell measures 3.4500, 3.4500 and 7.7474 Å, with angles of 90.00, 90.00 and 90.00 degrees. The asymmetric unit holds Sm at (0.0000, 0.0000, 0.2297), Ge at (0.5000, 0.5000, 0.5000) and Ir at (0.5000, 0.5000, 0.0000).

The calculation puts the calculated volume at 92.22 Å³/cell. The electronic total energy is -6.372 eV per atom. For the calculated formation energy, the calculation gives -62 kJ/mol of atoms. The calculation puts the size of the total moment at 0.000 μB/atom.

No. 6
The following is a DFT calculation (GGA-PBE) of crystalline Sm3GeIr3 at its relaxed geometry.

The space group is C2/m (No. 12) and the conventional cell measures 10.5855, 4.0893 and 14.8954 Å, with angles of 90.00, 108.65 and 90.00 degrees. The asymmetric unit holds Sm at (0.0149, 0.0000, 0.3796), Sm at (0.1109, 0.0000, 0.9264), Sm at (0.2405, 0.0000, 0.2196), Ge at (0.2291, 0.5000, 0.3874), Ir at (0.0315, 0.5000, 0.2324), Ir at (0.1144, 0.5000, 0.0764) and Ir at (0.1537, 0.5000, 0.5353).

The calculation puts the calculated volume at 610.92 Å³/cell. The electronic total energy is -7.210 eV per atom. For the calculated formation energy, the calculation gives -70 kJ/mol of atoms. The calculation puts the size of the total moment at 0.000 μB/atom.

No. 7
The following is a DFT calculation (GGA-PBE) of crystalline Sm3Ge7Ir2 at its relaxed geometry.

The space group is P2/m (No. 10) and the conventional cell measures 4.3343, 4.3269 and 13.2203 Å, with angles of 90.00, 99.43 and 90.00 degrees. The asymmetric unit holds Sm at (0.0000, 0.0000, 0.0000), Sm at (0.3169, 0.5000, 0.6346), Ge at (0.0852, 0.5000, 0.1708), Ge at (0.2230, 0.0000, 0.4464), Ge at (0.4155, 0.0000, 0.8288), Ge at (0.5000, 0.5000, 0.0000) and Ir at (0.1291, 0.0000, 0.2608).

The calculation puts the calculated volume at 244.59 Å³/cell. The electronic total energy is -6.016 eV per atom. For the calculated formation energy, the calculation gives -64 kJ/mol of atoms. The calculation puts the size of the total moment at 0.000 μB/atom.

No. 8
The following is a DFT calculation (GGA-PBE) of crystalline Sm3Ge2Ir2 at its relaxed geometry.

The space group is Pbcm (No. 57) and the conventional cell measures 5.7070, 7.9934 and 13.4908 Å, with angles of 90.00, 90.00 and 90.00 degrees. The asymmetric unit holds Sm at (0.1267, 0.2472, 0.2500), Sm at (0.3580, 0.6083, 0.1008), Ge at (0.1363, 0.2500, 0.0000), Ge at (0.3658, 0.6045, 0.7500) and Ir at (0.1329, 0.5362, 0.5915).

The calculation puts the calculated volume at 615.43 Å³/cell. The electronic total energy is -6.717 eV per atom. For the calculated formation energy, the calculation gives -81 kJ/mol of atoms. The calculation puts the size of the total moment at 0.000 μB/atom.

No. 9
The following is a DFT calculation (GGA-PBE) of crystalline SmGe2Ir4 at its relaxed geometry.

The space group is P4_2/mnm (No. 136) and the conventional cell measures 7.7625, 7.7625 and 3.9506 Å, with angles of 90.00, 90.00 and 90.00 degrees. The asymmetric unit holds Sm at (0.0000, 0.0000, 0.0000), Ge at (0.2260, 0.2260, 0.5000) and Ir at (0.0774, 0.6581, 0.5000).

The calculation puts the calculated volume at 238.05 Å³/cell. The electronic total energy is -7.596 eV per atom. For the calculated formation energy, the calculation gives -52 kJ/mol of atoms. The calculation puts the size of the total moment at 0.000 μB/atom.

No. 10
The following is a DFT calculation (GGA-PBE) of crystalline Sm2Ge4Ir3 at its relaxed geometry.

The space group is Fmmm (No. 69) and the conventional cell measures 5.6155, 9.8051 and 12.4493 Å, with angles of 90.00, 90.00 and 90.00 degrees. The asymmetric unit holds Sm at (0.0000, 0.0000, 0.1314), Ge at (0.0000, 0.1679, 0.3419), Ir at (0.0000, 0.0000, 0.5000) and Ir at (0.2500, 0.2500, 0.0000).

For the energy above the most stable polymorph in this dataset, the calculation gives 2.05 kcal/mol of atoms. The calculation puts the calculated volume at 685.47 Å³/cell. The electronic total energy is -6.701 eV per atom. For the calculated formation energy, the calculation gives -62 kJ/mol of atoms. The calculation puts the size of the total moment at 0.000 μB/atom.

No. 11
The following is a DFT calculation (GGA-PBE) of crystalline Sm6Ge2Ir at its relaxed geometry.

The space group is P2_1/c (No. 14) and the conventional cell measures 6.4315, 8.0367 and 11.8792 Å, with angles of 90.00, 122.13 and 90.00 degrees. The asymmetric unit holds Sm at (0.0755, 0.1755, 0.4362), Sm at (0.2915, 0.6786, 0.4415), Sm at (0.3775, 0.0369, 0.2424), Ge at (0.1823, 0.1168, 0.7539) and Ir at (0.5000, 0.0000, 0.5000).

The calculation puts the calculated volume at 520.00 Å³/cell. The electronic total energy is -5.684 eV per atom. For the calculated formation energy, the calculation gives -51 kJ/mol of atoms. The calculation puts the size of the total moment at 0.000 μB/atom.

No. 12
The following is a DFT calculation (GGA-PBE) of crystalline SmGe2Ir3 at its relaxed geometry.

The space group is C2/m (No. 12) and the conventional cell measures 16.4427, 4.0768 and 9.9343 Å, with angles of 90.00, 107.90 and 90.00 degrees. The asymmetric unit holds Sm at (0.0000, 0.0000, 0.0000), Sm at (0.1605, 0.0000, 0.7027), Ge at (0.0369, 0.5000, 0.7801), Ge at (0.1382, 0.5000, 0.4550), Ge at (0.1958, 0.0000, 0.1282), Ir at (0.0000, 0.5000, 0.5000), Ir at (0.0421, 0.0000, 0.3315), Ir at (0.1221, 0.5000, 0.2001), Ir at (0.1778, 0.5000, 0.9594) and Ir at (0.2172, 0.0000, 0.3922).

The calculation puts the calculated volume at 633.70 Å³/cell. The electronic total energy is -7.378 eV per atom. For the calculated formation energy, the calculation gives -60 kJ/mol of atoms. The calculation puts the size of the total moment at 0.000 μB/atom.

No. 13
The following is a DFT calculation (GGA-PBE) of crystalline SmGeIr at its relaxed geometry.

The space group is Fddd (No. 70, origin choice 2) and the conventional cell measures 6.1909, 11.0843 and 14.9364 Å, with angles of 90.00, 90.00 and 90.00 degrees. The asymmetric unit holds Sm at (0.1250, 0.1250, 0.3117), Ge at (0.1025, 0.3750, 0.3750) and Ir at (0.0000, 0.0000, 0.5000).

The calculation puts the calculated volume at 1024.96 Å³/cell. The electronic total energy is -6.405 eV per atom. For the calculated formation energy, the calculation gives -33 kJ/mol of atoms. The calculation puts the size of the total moment at 0.000 μB/atom.

No. 14
The following is a DFT calculation (GGA-PBE) of crystalline Sm3Ge4Ir2 at its relaxed geometry.

The space group is C2/m (No. 12) and the conventional cell measures 11.1039, 4.2790 and 8.4417 Å, with angles of 90.00, 103.70 and 90.00 degrees. The asymmetric unit holds Sm at (0.0000, 0.0000, 0.0000), Sm at (0.1687, 0.5000, 0.6517), Ge at (0.0486, 0.0000, 0.3778), Ge at (0.2326, 0.5000, 0.0779) and Ir at (0.1040, 0.5000, 0.2754).

For the energy above the most stable polymorph in this dataset, the calculation gives 0.87 kcal/mol of atoms. The calculation puts the calculated volume at 389.68 Å³/cell. The electronic total energy is -6.383 eV per atom. For the calculated formation energy, the calculation gives -76 kJ/mol of atoms. The calculation puts the size of the total moment at 0.000 μB/atom.

No. 15
The following is a DFT calculation (GGA-PBE) of crystalline Sm2GeIr at its relaxed geometry.

The space group is R-3m (No. 166, hexagonal axes) and the conventional cell measures 4.0412, 4.0412 and 22.0056 Å, with angles of 90.00, 90.00 and 120.00 degrees. The asymmetric unit holds Sm at (0.0000, 0.0000, 0.2425), Ge at (0.0000, 0.0000, 0.0000) and Ir at (0.0000, 0.0000, 0.5000).

The calculation puts the calculated volume at 311.23 Å³/cell. The electronic total energy is -6.239 eV per atom. For the calculated formation energy, the calculation gives -49 kJ/mol of atoms. The calculation puts the size of the total moment at 0.000 μB/atom.

No. 16
The following is a DFT calculation (GGA-PBE) of crystalline SmGe2Ir at its relaxed geometry.

The space group is Pnma (No. 62) and the conventional cell measures 6.7612, 4.3950 and 10.3260 Å, with angles of 90.00, 90.00 and 90.00 degrees. The asymmetric unit holds Sm at (0.2350, 0.2500, 0.1790), Ge at (0.0408, 0.7500, 0.3369), Ge at (0.2505, 0.2500, 0.4710) and Ir at (0.0879, 0.2500, 0.9008).

The calculation puts the calculated volume at 306.84 Å³/cell. The electronic total energy is -6.361 eV per atom. For the calculated formation energy, the calculation gives -63 kJ/mol of atoms. The calculation puts the size of the total moment at 0.000 μB/atom.

No. 17
The following is a DFT calculation (GGA-PBE) of crystalline Sm2Ge4Ir5 at its relaxed geometry.

The space group is Fmmm (No. 69) and the conventional cell measures 5.6683, 9.6970 and 14.9532 Å, with angles of 90.00, 90.00 and 90.00 degrees. The asymmetric unit holds Sm at (0.0000, 0.0000, 0.1230), Ge at (0.0000, 0.1576, 0.3696), Ir at (0.0000, 0.0000, 0.5000), Ir at (0.2500, 0.2500, 0.0000) and Ir at (0.2500, 0.2500, 0.2500).

The calculation puts the calculated volume at 821.91 Å³/cell. The electronic total energy is -7.188 eV per atom. For the calculated formation energy, the calculation gives -60 kJ/mol of atoms. The calculation puts the size of the total moment at 0.000 μB/atom.

No. 18
The following is a DFT calculation (GGA-PBE) of crystalline SmGe4Ir2 at its relaxed geometry.

The space group is Pnma (No. 62) and the conventional cell measures 17.4011, 4.2576 and 6.7578 Å, with angles of 90.00, 90.00 and 90.00 degrees. The asymmetric unit holds Sm at (0.1418, 0.2500, 0.0007), Ge at (0.0336, 0.7500, 0.1347), Ge at (0.0658, 0.2500, 0.5316), Ge at (0.1816, 0.7500, 0.6967), Ge at (0.1934, 0.7500, 0.2790), Ir at (0.0321, 0.7500, 0.7486) and Ir at (0.2110, 0.2500, 0.4843).

The calculation puts the calculated volume at 500.67 Å³/cell. The electronic total energy is -6.441 eV per atom. For the calculated formation energy, the calculation gives -58 kJ/mol of atoms. The calculation puts the size of the total moment at 0.000 μB/atom.

No. 19
The following is a DFT calculation (GGA-PBE) of crystalline Sm3Ge2Ir at its relaxed geometry.

The space group is Pnma (No. 62) and the conventional cell measures 11.9713, 4.3044 and 11.4722 Å, with angles of 90.00, 90.00 and 90.00 degrees. The asymmetric unit holds Sm at (0.0552, 0.2500, 0.1280), Sm at (0.1200, 0.7500, 0.5545), Sm at (0.2229, 0.2500, 0.8005), Ge at (0.0130, 0.7500, 0.3113), Ge at (0.1906, 0.7500, 0.0011) and Ir at (0.1299, 0.2500, 0.3701).

For the energy above the most stable polymorph in this dataset, the calculation gives 0.00 kcal/mol of atoms. The calculation puts the calculated volume at 591.16 Å³/cell. The electronic total energy is -6.214 eV per atom. For the calculated formation energy, the calculation gives -81 kJ/mol of atoms. The calculation puts the size of the total moment at 0.000 μB/atom.